A | The following is a DFT calculation (meta-GGA SCAN) of a PBEsol-optimized structure of BeSiAs2.

Summary:
**M_tot**: 0.0000 μB/atom
**Crystal system**: orthorhombic
**Fermi-level density of states**: 0.38 states/eV/atom
**Space-group type**: No. 71

Cell lengths 3.509, 4.680, 4.680 Å; angles 68.21, 67.98, 67.98 degrees
Positions (direct):
As 0.779 0.221 0.221
As 0.221 0.779 0.779
Si 0.000 0.500 0.500
Be 0.500 0.000 0.000

***

B | The following is a DFT calculation (meta-GGA SCAN) of a PBEsol-optimized structure of BeSiAs2.

Summary:
**M_tot**: 0.0000 μB/atom
**Crystal system**: tetragonal
**Space-group type**: No. 122

Cell lengths 5.322, 5.322, 6.513 Å; angles 114.11, 114.11, 90.00 degrees
Positions (direct):
As 0.395 0.875 0.250
As 0.125 0.145 0.750
As 0.855 0.375 0.250
As 0.625 0.605 0.750
Si 0.250 0.750 0.500
Si 0.000 0.000 0.000
Be 0.750 0.250 0.500
Be 0.500 0.500 0.000

***

C | The following is a DFT calculation (meta-GGA SCAN) of a PBEsol-optimized structure of BeSiAs2.

Summary:
**M_tot**: 0.0000 μB/atom
**Crystal system**: cubic
**Fermi-level density of states**: 0.49 states/eV/atom
**Space-group type**: No. 225

Cell lengths 4.410, 4.410, 4.410 Å; angles 60.00, 60.00, 60.00 degrees
Positions (direct):
As 0.750 0.750 0.750
As 0.250 0.250 0.250
Be 0.000 0.000 0.000
Si 0.500 0.500 0.500

***

Most stable pick: B. Distance to second place: 835 meV per atom.

***

A | The following is a DFT calculation (meta-GGA SCAN) of a PBEsol-optimized structure of Ta2BeAs.

Summary:
**M_tot**: 0.0000 μB/atom
**Crystal system**: cubic
**Fermi-level density of states**: 1.07 states/eV/atom
**Space-group type**: No. 225

Cell lengths 4.369, 4.369, 4.369 Å; angles 60.00, 60.00, 60.00 degrees
Positions (direct):
Be 0.500 0.500 0.500
Ta 0.750 0.750 0.750
Ta 0.250 0.250 0.250
As 0.000 0.000 0.000

***

B | The following is a DFT calculation (meta-GGA SCAN) of a PBEsol-optimized structure of Ta2BeAs.

Summary:
**M_tot**: 0.0000 μB/atom
**Crystal system**: orthorhombic
**Fermi-level density of states**: 0.43 states/eV/atom
**Space-group type**: No. 38

Cell lengths 3.485, 3.517, 4.974 Å; angles 90.00, 110.51, 90.00 degrees
Positions (direct):
As 0.820 0.000 0.640
Be 0.671 0.500 0.342
Ta 0.408 0.500 0.815
Ta 0.104 0.000 0.208

***

Most stable pick: B. Distance to second place: 473 meV per atom.

***

A | The following is a DFT calculation (meta-GGA SCAN) of a PBEsol-optimized structure of Y2BeAs.

Summary:
**M_tot**: 0.0397 μB/atom
**Crystal system**: orthorhombic
**Fermi-level density of states**: 0.65 states/eV/atom
**Space-group type**: No. 38

Cell lengths 3.784, 4.149, 5.625 Å; angles 111.64, 90.00, 90.00 degrees
Each line ends with the local moment (μB).
Positions (direct):
Be 0.500 0.694 0.388  -0.01
Y 0.500 0.980 0.961  0.05
Y 0.000 0.267 0.535  0.05
As 0.000 0.558 0.116  0.00

***

B | The following is a DFT calculation (meta-GGA SCAN) of a PBEsol-optimized structure of Y2BeAs.

Summary:
**M_tot**: 0.0791 μB/atom
**Crystal system**: tetragonal
**Fermi-level density of states**: 0.63 states/eV/atom
**Space-group type**: No. 99

Cell lengths 3.333, 3.333, 7.641 Å; angles 90.00, 90.00, 90.00 degrees
Each line ends with the local moment (μB).
Positions (direct):
As 0.000 0.000 0.567  0.00
Be 0.500 0.500 0.685  0.00
Y 0.500 0.500 0.306  -0.15
Y 0.000 0.000 0.942  -0.08

***

Most stable pick: A. Distance to second place: 610 meV per atom.

***

A | The following is a DFT calculation (meta-GGA SCAN) of a PBEsol-optimized structure of Be2ZnAs.

Summary:
**M_tot**: 0.0000 μB/atom
**Crystal system**: orthorhombic
**Fermi-level density of states**: 0.30 states/eV/atom
**Space-group type**: No. 71

Cell lengths 3.542, 3.993, 4.467 Å; angles 116.55, 113.35, 90.00 degrees
Positions (direct):
Be 0.754 0.754 0.508
Be 0.246 0.246 0.492
Zn 0.000 0.500 0.000
As 0.500 0.000 0.000

***

B | The following is a DFT calculation (meta-GGA SCAN) of a PBEsol-optimized structure of Be2ZnAs.

Summary:
**M_tot**: 0.0000 μB/atom
**Crystal system**: trigonal
**Fermi-level density of states**: 0.26 states/eV/atom
**Space-group type**: No. 166

Cell lengths 2.852, 2.852, 7.421 Å; angles 78.92, 78.92, 60.00 degrees
Positions (direct):
Be 0.750 0.750 0.749
Be 0.250 0.250 0.251
As 0.000 0.000 0.000
Zn 0.500 0.500 0.500

***

Most stable pick: B. Distance to second place: 25 meV per atom.

***

A | The following is a DFT calculation (meta-GGA SCAN) of a PBEsol-optimized structure of Fe3BiAs.

Summary:
**M_tot**: 1.8498 μB/atom
**Crystal system**: cubic
**Fermi-level density of states**: 1.56 states/eV/atom
**Space-group type**: No. 221

Cell lengths 4.792, 4.792, 4.792 Å; angles 90.00, 90.00, 90.00 degrees
Each line ends with the local moment (μB).
Positions (direct):
Bi 0.000 0.000 0.000  -0.03
Fe 0.000 0.000 0.500  3.06
Fe 0.500 0.000 0.000  3.06
Fe 0.000 0.500 0.000  3.06
As 0.500 0.500 0.500  0.06

***

B | The following is a DFT calculation (meta-GGA SCAN) of a PBEsol-optimized structure of Fe3BiAs.

Summary:
**M_tot**: 1.3532 μB/atom
**Crystal system**: cubic
**Fermi-level density of states**: 0.66 states/eV/atom
**Space-group type**: No. 221

Cell lengths 4.392, 4.392, 4.392 Å; angles 90.00, 90.00, 90.00 degrees
Each line ends with the local moment (μB).
Positions (direct):
Bi 0.500 0.500 0.500  -0.16
Fe 0.500 0.000 0.000  2.41
Fe 0.000 0.000 0.500  2.41
Fe 0.000 0.500 0.000  2.41
As 0.000 0.000 0.000  -0.09

***

Most stable pick: B. Distance to second place: 1095 meV per atom.

***

A | The following is a DFT calculation (meta-GGA SCAN) of a PBEsol-optimized structure of BiAsS2.

Summary:
**M_tot**: 0.0000 μB/atom
**Crystal system**: tetragonal
**Fermi-level density of states**: 0.32 states/eV/atom
**Space-group type**: No. 122

Cell lengths 6.092, 6.092, 6.092 Å; angles 106.76, 106.76, 115.04 degrees
Positions (direct):
Bi 0.250 0.750 0.500
Bi 0.000 0.000 0.000
As 0.750 0.250 0.500
As 0.500 0.500 0.000
S 0.403 0.375 0.528
S 0.847 0.875 0.472
S 0.125 0.597 0.972
S 0.625 0.153 0.028

***

B | The following is a DFT calculation (meta-GGA SCAN) of a PBEsol-optimized structure of BiAsS2.

Summary:
**M_tot**: 0.0000 μB/atom
**Crystal system**: cubic
**Fermi-level density of states**: 0.45 states/eV/atom
**Space-group type**: No. 225

Cell lengths 4.786, 4.786, 4.786 Å; angles 60.00, 60.00, 60.00 degrees
Positions (direct):
Bi 0.500 0.500 0.500
S 0.250 0.250 0.250
S 0.750 0.750 0.750
As 0.000 0.000 0.000

***

Most stable pick: A. Distance to second place: 224 meV per atom.